Cd3Ru | PBE-GGA | optimized geometry

Geometry as POSCAR:
```
Cd3Ru
1.0
4.737 0.000 0.000
0.000 5.871 0.000
0.000 0.000 5.376
Cd Ru
6 2
direct
0.250 0.001 0.163 Cd
0.250 0.499 0.163 Cd
0.250 0.750 0.640 Cd
0.750 0.250 0.360 Cd
0.750 0.501 0.837 Cd
0.750 0.999 0.837 Cd
0.250 0.250 0.665 Ru
0.750 0.750 0.335 Ru
```

Summary:
**Total moment**: 0.0 Bohr magnetons per cell
**Energy**: -2.8016 eV per atom
**E_form**: 0.20 eV per atom